# 1
Zn2BO3F | the Open Quantum Materials Database | PBE | optimized geometry; DFT total energy = -5.657 eV/atom; space-group type = No. 15
1.0
4.453 -2.571 0.000
4.453 2.571 0.000
-2.992 0.000 8.692
Zn B O F
4 2 6 2
direct
0.073 0.574 0.719
0.426 0.927 0.781
0.574 0.073 0.219
0.927 0.426 0.281
0.251 0.749 0.250
0.749 0.251 0.750
0.016 0.984 0.750
0.251 0.483 0.251
0.483 0.251 0.751
0.517 0.749 0.249
0.749 0.517 0.749
0.984 0.016 0.250
0.000 0.500 0.500
0.500 0.000 0.000



# 2
Re4BF2 | the Open Quantum Materials Database | PBE | optimized geometry; DFT total energy = -7.911 eV/atom; space-group type = No. 139
1.0
-3.256 3.256 2.249
3.256 -3.256 2.249
3.256 3.256 -2.249
Re B F
4 1 2
direct
0.182 0.182 0.364
0.182 0.818 0.000
0.818 0.182 0.000
0.818 0.818 0.636
0.500 0.500 0.000
0.250 0.750 0.500
0.750 0.250 0.500



# 3
FeB | the Open Quantum Materials Database | PBE | optimized geometry; DFT total energy = -6.763 eV/atom; space-group type = No. 216
1.0
0.000 2.218 2.218
2.218 0.000 2.218
2.218 2.218 0.000
Fe B
1 1
direct
0.000 0.000 0.000
0.250 0.250 0.250